[1]
DFT (PBE-GGA) results for a geometry-optimized Dy7Er2 structure.

## Properties
The total DFT energy (no corrections) comes out at -41.14 eV/cell. Its density of states at the Fermi level is 12.9 states/eV/f.u. Its space-group type is P-31m (162).

a = 6.1066 Å, b = 6.1066 Å, c = 8.6306 Å
α = 90.00°, β = 90.00°, γ = 120.00°
With the nearest neighbours (Å) after each atom.
Positions (direct):
Dy1 0.0000 0.0000 0.0000  6 Dy 3.52, 6 Er 3.53
Dy2 0.0000 0.3334 0.6673  2 Er 3.52, 10 Dy 3.52-3.53
Dy3 0.0000 0.6666 0.3327  2 Er 3.52, 10 Dy 3.52-3.53
Dy4 0.3334 0.0000 0.6673  2 Er 3.52, 10 Dy 3.52-3.53
Dy5 0.3334 0.3334 0.3327  2 Er 3.52, 10 Dy 3.52-3.53
Dy6 0.6666 0.0000 0.3327  2 Er 3.52, 10 Dy 3.52-3.53
Dy7 0.6666 0.6666 0.6673  2 Er 3.52, 10 Dy 3.52-3.53
Er1 0.3333 0.6667 0.0000  9 Dy 3.52-3.53, 3 Er 3.53
Er2 0.6667 0.3333 0.0000  9 Dy 3.52-3.53, 3 Er 3.53

[2]
DFT (PBE-GGA) results for a geometry-optimized AlTl2Fe structure.

## Properties
The total DFT energy (no corrections) comes out at -31.69 eV/cell. Its density of states at the Fermi level is 2.9 states/eV/f.u. Its space-group type is Immm (71).

a = 3.0801 Å, b = 3.8877 Å, c = 14.9247 Å
α = 90.00°, β = 90.00°, γ = 90.00°
With the nearest neighbours (Å) after each atom.
Positions (direct):
Al1 0.0000 0.0000 0.0000  4 Fe 2.48
Al2 0.5000 0.5000 0.5000  4 Fe 2.48
Tl1 0.0000 0.5000 0.1696  2 Fe 2.96, 2 Tl 3.08, 2 Al 3.19
Tl2 0.0000 0.5000 0.8304  2 Fe 2.96, 2 Tl 3.08, 2 Al 3.19
Tl3 0.5000 0.0000 0.3304  2 Fe 2.96, 2 Tl 3.08, 2 Al 3.19
Tl4 0.5000 0.0000 0.6696  2 Fe 2.96, 2 Tl 3.08, 2 Al 3.19
Fe1 0.0000 0.0000 0.5000  4 Al 2.48
Fe2 0.5000 0.5000 0.0000  4 Al 2.48

[3]
DFT (PBE-GGA) results for a geometry-optimized Tb3CeDy2Ho6 structure.

## Properties
The total DFT energy (no corrections) comes out at -56.08 eV/cell. Its density of states at the Fermi level is 18.8 states/eV/f.u. Its space-group type is C2/m (12).

a = 6.1281 Å, b = 6.1281 Å, c = 11.7146 Å
α = 95.00°, β = 95.00°, γ = 119.97°
With the nearest neighbours (Å) after each atom.
Positions (direct):
Tb1 0.0000 0.0000 0.0000  6 Tb 3.53-3.54, 6 Ho 3.54-3.55
Tb2 0.3326 0.6674 0.0000  6 Tb 3.53-3.55, 6 Ho 3.54
Tb3 0.6674 0.3326 0.0000  6 Tb 3.53-3.55, 6 Ho 3.54
Ce1 0.5000 0.5000 0.5000  6 Ho 3.52, 6 Dy 3.54
Dy1 0.1666 0.8334 0.5000  6 Ho 3.53, 3 Dy 3.54, 3 Ce 3.54
Dy2 0.8334 0.1666 0.5000  6 Ho 3.53, 3 Dy 3.54, 3 Ce 3.54
Ho1 0.0853 0.4165 0.2506  6 Ho 3.52-3.55, 1 Ce 3.52, 2 Dy 3.53, 3 Tb 3.54
Ho2 0.2521 0.2521 0.7496  6 Ho 3.52-3.55, 1 Ce 3.52, 2 Dy 3.53, 3 Tb 3.54-3.55
Ho3 0.4165 0.0853 0.2506  6 Ho 3.52-3.55, 1 Ce 3.52, 2 Dy 3.53, 3 Tb 3.54
Ho4 0.5835 0.9148 0.7494  6 Ho 3.52-3.55, 1 Ce 3.52, 2 Dy 3.53, 3 Tb 3.54
Ho5 0.7479 0.7479 0.2504  6 Ho 3.52-3.55, 1 Ce 3.52, 2 Dy 3.53, 3 Tb 3.54-3.55
Ho6 0.9148 0.5835 0.7494  6 Ho 3.52-3.55, 1 Ce 3.52, 2 Dy 3.53, 3 Tb 3.54

[4]
DFT (PBE-GGA) results for a geometry-optimized LiCe2Te4 structure.

## Properties
For the uncorrected formation energy, the calculation gives -1.199 eV per atom. Its density of states at the Fermi level is 7.6 states/eV/f.u. Its space-group type is I4_1/amd (141).

a = 9.0435 Å, b = 9.0435 Å, c = 9.0435 Å
α = 120.06°, β = 120.06°, γ = 89.89°
With the nearest neighbours (Å) after each atom.
Positions (direct):
Li1 0.3750 0.6250 0.7500  4 Te 2.87
Li2 0.6250 0.3750 0.2500  4 Te 2.87
Ce1 0.0000 0.0000 0.0000  6 Te 3.14
Ce2 0.0000 0.0000 0.5000  6 Te 3.14
Ce3 0.0000 0.5000 0.0000  6 Te 3.14
Ce4 0.5000 0.0000 0.5000  6 Te 3.14
Te1 0.2368 0.2453 0.9915  1 Li 2.87, 3 Ce 3.14
Te2 0.2453 0.2368 0.4915  1 Li 2.87, 3 Ce 3.14
Te3 0.2453 0.7538 0.0085  1 Li 2.87, 3 Ce 3.14
Te4 0.2462 0.7547 0.4915  1 Li 2.87, 3 Ce 3.14
Te5 0.7538 0.2453 0.5085  1 Li 2.87, 3 Ce 3.14
Te6 0.7547 0.2462 0.9915  1 Li 2.87, 3 Ce 3.14
Te7 0.7547 0.7632 0.5085  1 Li 2.87, 3 Ce 3.14
Te8 0.7632 0.7547 0.0085  1 Li 2.87, 3 Ce 3.14

[5]
DFT (PBE-GGA) results for a geometry-optimized Na3AlSn structure.

## Properties
The total DFT energy (no corrections) comes out at -9.21 eV/cell. Its density of states at the Fermi level is 3.1 states/eV/f.u. Its space-group type is Pm-3m (221).

a = 5.6003 Å, b = 5.6003 Å, c = 5.6003 Å
α = 90.00°, β = 90.00°, γ = 90.00°
With the nearest neighbours (Å) after each atom.
Positions (direct):
Na1 0.0000 0.0000 0.5000  2 Al 2.80
Na2 0.0000 0.5000 0.0000  2 Al 2.80
Na3 0.5000 0.0000 0.0000  2 Al 2.80
Al1 0.0000 0.0000 0.0000  6 Na 2.80
Sn1 0.5000 0.5000 0.5000  12 Na 3.96

[6]
DFT (PBE-GGA) results for a geometry-optimized Tl2ZnBr8 structure.

## Properties
For the uncorrected formation energy, the calculation gives -0.516 eV per atom. Its density of states at the Fermi level is 0.0 states/eV/f.u. Its space-group type is C2/m (12).

a = 7.9931 Å, b = 7.9931 Å, c = 9.9054 Å
α = 104.42°, β = 104.42°, γ = 54.90°
With the nearest neighbours (Å) after each atom.
Positions (direct):
Tl1 0.2317 0.2317 0.3176  4 Br 2.52-2.77
Tl2 0.7683 0.7683 0.6824  4 Br 2.52-2.77
Zn1 0.0000 0.0000 0.0000  4 Br 2.51
Br1 0.1360 0.6484 0.8603  1 Zn 2.51, 1 Tl 2.77
Br2 0.1828 0.1828 0.5474  1 Tl 2.56
Br3 0.3516 0.8640 0.1397  1 Zn 2.51, 1 Tl 2.77
Br4 0.3976 0.3976 0.2713  1 Tl 2.52
Br5 0.6024 0.6024 0.7287  1 Tl 2.52
Br6 0.6484 0.1360 0.8603  1 Zn 2.51, 1 Tl 2.77
Br7 0.8172 0.8172 0.4526  1 Tl 2.56
Br8 0.8640 0.3516 0.1397  1 Zn 2.51, 1 Tl 2.77

[7]
DFT (PBE-GGA) results for a geometry-optimized MgVCd2Cl structure.

## Properties
For the uncorrected formation energy, the calculation gives 0.544 eV per atom. Its density of states at the Fermi level is 4.3 states/eV/f.u. Its space-group type is P4/mmm (123).

a = 5.3974 Å, b = 5.3974 Å, c = 5.5477 Å
α = 90.00°, β = 90.00°, γ = 90.00°
With the nearest neighbours (Å) after each atom.
Positions (direct):
Mg1 0.0000 0.0000 0.0000  2 V 2.77
V1 0.0000 0.0000 0.5000  4 Cd 2.70, 2 Mg 2.77
Cd1 0.0000 0.5000 0.5000  2 V 2.70
Cd2 0.5000 0.0000 0.5000  2 V 2.70
Cl1 0.5000 0.5000 0.0000  4 Mg 3.82, 8 Cd 3.87

[8]
DFT (PBE-GGA) results for a geometry-optimized PrSm3Ge2 structure.

## Properties
The total DFT energy (no corrections) comes out at -63.18 eV/cell. Its density of states at the Fermi level is 5.9 states/eV/f.u. Its space-group type is C2/m (12).

a = 9.0857 Å, b = 9.0857 Å, c = 9.4646 Å
α = 113.63°, β = 113.63°, γ = 28.36°
With the nearest neighbours (Å) after each atom.
Positions (direct):
Pr1 0.1155 0.1155 0.1320  6 Ge 3.13-3.30, 1 Sm 3.47
Pr2 0.8845 0.8845 0.8680  6 Ge 3.13-3.30, 1 Sm 3.47
Sm1 0.0488 0.0488 0.6956  3 Ge 3.00-3.26, 2 Sm 3.28
Sm2 0.3088 0.3088 0.1157  3 Ge 3.06-3.15, 4 Sm 3.21-3.28
Sm3 0.3485 0.3485 0.5235  4 Ge 3.07-3.31
Sm4 0.6515 0.6515 0.4765  4 Ge 3.07-3.31
Sm5 0.6912 0.6912 0.8843  3 Ge 3.06-3.15, 4 Sm 3.21-3.28
Sm6 0.9512 0.9512 0.3044  3 Ge 3.00-3.26, 2 Sm 3.28
Ge1 0.2373 0.2373 0.7117  6 Sm 3.06-3.26, 2 Pr 3.27
Ge2 0.4914 0.4914 0.1335  1 Ge 2.67
Ge3 0.5086 0.5086 0.8665  1 Ge 2.67
Ge4 0.7627 0.7627 0.2883  6 Sm 3.06-3.26, 2 Pr 3.27

[9]
DFT (PBE-GGA) results for a geometry-optimized Zr4Au2O structure.

## Properties
For the uncorrected formation energy, the calculation gives -0.954 eV per atom. Its density of states at the Fermi level is 8.0 states/eV/f.u. Its space-group type is I4/mmm (139).

a = 4.3510 Å, b = 4.3510 Å, c = 14.4660 Å
α = 90.00°, β = 90.00°, γ = 90.00°
With the nearest neighbours (Å) after each atom.
Positions (direct):
Zr1 0.0000 0.0000 0.1759  1 O 2.54, 1 Au 2.73
Zr2 0.0000 0.0000 0.8241  1 O 2.54, 1 Au 2.73
Zr3 0.0000 0.5000 0.0000  2 O 2.18
Zr4 0.0000 0.5000 0.5000  2 O 2.18
Zr5 0.5000 0.0000 0.0000  2 O 2.18
Zr6 0.5000 0.0000 0.5000  2 O 2.18
Zr7 0.5000 0.5000 0.3241  1 O 2.54, 1 Au 2.73
Zr8 0.5000 0.5000 0.6759  1 O 2.54, 1 Au 2.73
Au1 0.0000 0.0000 0.3644  5 Zr 2.73-2.93
Au2 0.0000 0.0000 0.6356  5 Zr 2.73-2.93
Au3 0.5000 0.5000 0.1356  5 Zr 2.73-2.93
Au4 0.5000 0.5000 0.8644  5 Zr 2.73-2.93
O1 0.0000 0.0000 0.0000  4 Zr 2.18
O2 0.5000 0.5000 0.5000  4 Zr 2.18

[10]
DFT (PBE-GGA) results for a geometry-optimized HoPaAs2N structure.

## Properties
For the uncorrected formation energy, the calculation gives -1.254 eV per atom. Its density of states at the Fermi level is 3.0 states/eV/f.u. Its space-group type is P4/nmm (129).

a = 3.9741 Å, b = 3.9741 Å, c = 13.5042 Å
α = 90.00°, β = 90.00°, γ = 90.00°
With the nearest neighbours (Å) after each atom.
Positions (direct):
Ho1 0.2500 0.2500 0.1052  6 As 2.81-2.96
Ho2 0.7500 0.7500 0.8948  6 As 2.81-2.96
Pa1 0.2500 0.2500 0.5874  4 N 2.31
Pa2 0.7500 0.7500 0.4126  4 N 2.31
As1 0.2500 0.2500 0.3156  1 Ho 2.84, 4 Pa 3.10
As2 0.2500 0.2500 0.8856  5 Ho 2.81-2.96
As3 0.7500 0.7500 0.1144  5 Ho 2.81-2.96
As4 0.7500 0.7500 0.6844  1 Ho 2.84, 4 Pa 3.10
N1 0.2500 0.7500 0.5000  4 Pa 2.31
N2 0.7500 0.2500 0.5000  4 Pa 2.31

[11]
DFT (PBE-GGA) results for a geometry-optimized RbBa2LiIr structure.

## Properties
The total DFT energy (no corrections) comes out at -15.00 eV/cell. Its density of states at the Fermi level is 2.9 states/eV/f.u. Its space-group type is P4/mmm (123).

a = 6.1530 Å, b = 6.1530 Å, c = 5.6106 Å
α = 90.00°, β = 90.00°, γ = 90.00°
With the nearest neighbours (Å) after each atom.
Positions (direct):
Rb1 0.0000 0.0000 0.0000  8 Ba 4.16, 4 Li 4.35
Ba1 0.0000 0.5000 0.5000  2 Ir 3.08
Ba2 0.5000 0.0000 0.5000  2 Ir 3.08
Li1 0.5000 0.5000 0.0000  2 Ir 2.81
Ir1 0.5000 0.5000 0.5000  2 Li 2.81, 4 Ba 3.08

[12]
DFT (PBE-GGA) results for a geometry-optimized Ho2CuNi7 structure.

## Properties
The total DFT energy (no corrections) comes out at -55.70 eV/cell. Its density of states at the Fermi level is 14.9 states/eV/f.u. Its space-group type is P-4m2 (115).

a = 3.7704 Å, b = 3.7704 Å, c = 10.2875 Å
α = 90.00°, β = 90.00°, γ = 90.00°
With the nearest neighbours (Å) after each atom.
Positions (direct):
Ho1 0.0000 0.5000 0.2453  14 Ni 2.88-3.23, 2 Cu 3.23
Ho2 0.5000 0.0000 0.7547  14 Ni 2.88-3.23, 2 Cu 3.23
Cu1 0.0000 0.0000 0.5000  8 Ni 2.39-2.67
Ni1 0.0000 0.0000 0.0000  4 Ni 2.36
Ni2 0.0000 0.5000 0.6429  3 Ni 2.25-2.39, 2 Cu 2.39
Ni3 0.0000 0.5000 0.8614  5 Ni 2.25-2.36
Ni4 0.5000 0.0000 0.1386  5 Ni 2.25-2.36
Ni5 0.5000 0.0000 0.3571  3 Ni 2.25-2.39, 2 Cu 2.39
Ni6 0.5000 0.5000 0.0000  4 Ni 2.36
Ni7 0.5000 0.5000 0.5000  4 Ni 2.39, 4 Cu 2.67